Density functional theory data (GGA-PBE) for NdPaSe2 after structural relaxation.

Calculated values
energy relative to the elements, uncorrected: -1.291 eV/atom
SG: P4/mmm
energy above the lowest structure with this stoichiometry: 0.68 eV per formula unit

Geometry as extended XYZ:
```
4
Lattice="3.595 0.000 0.000 0.000 3.595 0.000 0.000 0.000 7.204" Properties=species:S:1:pos:R:3 pbc="T T T"
Pa 1.797 1.797 0.000
Nd 1.797 1.797 3.602
Se 0.000 0.000 5.491
Se 0.000 0.000 1.713
```